CePmTm2P4 | PBE-GGA | relaxed

Output
ΔH_f (0 K): -12.5 eV per formula unit
SG: P2/m
magnetization: 0.44 μB/f.u.

a b c (Å): 4.031 6.959 6.981
angles (deg): 70.56 90.00 90.00
Site moments in Bohr magnetons follow the coordinates.
Positions (direct):
Ce 0.000 0.500 0.500  0.40
Pm 0.500 0.500 0.000  0.01
Tm 0.000 0.000 0.000  0.01
Tm 0.500 0.000 0.500  0.00
P 0.000 0.759 0.744  -0.01
P 0.000 0.241 0.256  -0.01
P 0.500 0.758 0.250  -0.01
P 0.500 0.242 0.750  -0.01